Model P:
Cu2RuRh: optimized geometry, PBE-GGA.

Computed properties:
For the volume, the calculation gives 53.1 Å³/cell. The calculation puts the density of states at the Fermi level at 4.88 states/eV/cell. As for the space-group type: R-3m, No. 166.

a b c (Å): 8.729 8.729 8.729
angles (deg): 17.60 17.60 17.60
Site moments in Bohr magnetons follow the coordinates.
Atoms (fractional coordinates):
1 Cu 0.500 0.500 0.500  0.00
2 Cu 0.000 0.000 0.000  0.00
3 Rh 0.250 0.250 0.250  0.39
4 Ru 0.750 0.750 0.750  -0.08

***

Model Q:
Cu2RuRh: optimized geometry, PBE-GGA.

Computed properties:
For the volume, the calculation gives 53.9 Å³/cell. The calculation puts the density of states at the Fermi level at 4.50 states/eV/cell. As for the space-group type: Pmmm, No. 47.

a b c (Å): 2.692 4.489 4.464
angles (deg): 90.00 90.00 90.00
Site moments in Bohr magnetons follow the coordinates.
Atoms (fractional coordinates):
1 Cu 0.000 0.000 0.000  0.02
2 Cu 0.500 0.500 0.000  0.01
3 Ru 0.000 0.500 0.500  0.38
4 Rh 0.500 0.000 0.500  0.19

***

The most stable of them is model P.

***

Model P:
Cu2RuRh: optimized geometry, PBE-GGA.

Computed properties:
For the volume, the calculation gives 52.5 Å³/cell. The calculation puts the density of states at the Fermi level at 4.13 states/eV/cell. As for the space-group type: I-4m2, No. 119.

a b c (Å): 4.591 4.591 4.591
angles (deg): 131.95 131.95 70.31
Atoms (fractional coordinates):
1 Cu 0.250 0.750 0.500
2 Cu 0.000 0.000 0.000
3 Rh 0.500 0.500 0.000
4 Ru 0.750 0.250 0.500

***

Model Q:
Cu2RuRh: optimized geometry, PBE-GGA.

Computed properties:
For the volume, the calculation gives 53.5 Å³/cell. The calculation puts the density of states at the Fermi level at 4.97 states/eV/cell. As for the space-group type: I4/mmm, No. 139.

a b c (Å): 4.634 4.634 4.634
angles (deg): 132.25 132.25 69.83
Site moments in Bohr magnetons follow the coordinates.
Atoms (fractional coordinates):
1 Cu 0.500 0.500 0.000  0.14
2 Cu 0.000 0.000 0.000  0.14
3 Ru 0.750 0.250 0.500  1.31
4 Rh 0.250 0.750 0.500  0.62

***

The most stable of them is model P.

***

Model P:
Cu2RuRh: optimized geometry, PBE-GGA.

Computed properties:
For the volume, the calculation gives 53.2 Å³/cell. The calculation puts the density of states at the Fermi level at 4.25 states/eV/cell. As for the space-group type: R3m, No. 160.

a b c (Å): 8.614 8.614 8.614
angles (deg): 17.99 17.99 17.99
Atoms (fractional coordinates):
1 Rh 0.500 0.500 0.500
2 Cu 0.252 0.252 0.252
3 Cu 0.998 0.998 0.998
4 Ru 0.750 0.750 0.750

***

Model Q:
Cu2RuRh: optimized geometry, PBE-GGA.

Computed properties:
For the volume, the calculation gives 52.9 Å³/cell. The calculation puts the density of states at the Fermi level at 4.44 states/eV/cell. As for the space-group type: Cm, No. 8.

a b c (Å): 4.581 4.581 4.559
angles (deg): 80.45 80.45 34.19
Atoms (fractional coordinates):
1 Cu 0.749 0.749 0.774
2 Cu 0.000 0.000 0.977
3 Ru 0.249 0.249 0.274
4 Rh 0.501 0.501 0.476

***

Model R:
Cu2RuRh: optimized geometry, PBE-GGA.

Computed properties:
For the volume, the calculation gives 52.7 Å³/cell. The calculation puts the density of states at the Fermi level at 3.30 states/eV/cell. As for the space-group type: P4mm, No. 99.

a b c (Å): 2.718 2.718 7.129
angles (deg): 90.00 90.00 90.00
Atoms (fractional coordinates):
1 Cu 0.500 0.500 0.239
2 Cu 0.000 0.000 0.010
3 Rh 0.000 0.000 0.500
4 Ru 0.500 0.500 0.751

***

Model S:
Cu2RuRh: optimized geometry, PBE-GGA.

Computed properties:
For the volume, the calculation gives 115.5 Å³/cell. The calculation puts the density of states at the Fermi level at 11.44 states/eV/cell. As for the space-group type: I-42d, No. 122.

a b c (Å): 6.809 6.809 5.421
angles (deg): 51.09 51.09 90.00
Atoms (fractional coordinates):
1 Cu 0.623 0.125 0.250
2 Cu 0.375 0.377 0.750
3 Cu 0.127 0.625 0.250
4 Cu 0.875 0.873 0.750
5 Rh 0.750 0.250 0.500
6 Rh 0.000 0.000 0.000
7 Ru 0.500 0.500 0.000
8 Ru 0.250 0.750 0.500

***

The most stable of them is model R.

***

Model P:
Cu2RuRh: optimized geometry, PBE-GGA.

Computed properties:
For the volume, the calculation gives 54.0 Å³/cell. The calculation puts the density of states at the Fermi level at 6.00 states/eV/cell. As for the space-group type: Cmmm, No. 65.

a b c (Å): 2.624 2.624 8.887
angles (deg): 90.00 90.00 118.14
Site moments in Bohr magnetons follow the coordinates.
Atoms (fractional coordinates):
1 Rh 0.500 0.500 0.250  0.21
2 Ru 0.500 0.500 0.750  0.34
3 Cu 0.000 0.000 0.499  0.03
4 Cu 0.000 0.000 0.001  0.03

***

Model Q:
Cu2RuRh: optimized geometry, PBE-GGA.

Computed properties:
For the volume, the calculation gives 54.0 Å³/cell. The calculation puts the density of states at the Fermi level at 4.43 states/eV/cell. As for the space-group type: Cmm2, No. 35.

a b c (Å): 2.631 2.631 8.867
angles (deg): 90.00 90.00 118.32
Atoms (fractional coordinates):
1 Cu 0.500 0.500 0.243
2 Cu 0.000 0.000 0.007
3 Rh 0.000 0.000 0.496
4 Ru 0.500 0.500 0.753

***

Model R:
Cu2RuRh: optimized geometry, PBE-GGA.

Computed properties:
For the volume, the calculation gives 53.1 Å³/cell. The calculation puts the density of states at the Fermi level at 3.64 states/eV/cell. As for the space-group type: Pm, No. 6.

a b c (Å): 3.728 2.699 5.935
angles (deg): 62.85 90.00 90.00
Atoms (fractional coordinates):
1 Rh 0.000 0.487 0.514
2 Ru 0.500 0.763 0.737
3 Cu 0.000 0.986 0.014
4 Cu 0.500 0.264 0.235

***

Model S:
Cu2RuRh: optimized geometry, PBE-GGA.

Computed properties:
For the volume, the calculation gives 52.7 Å³/cell. The calculation puts the density of states at the Fermi level at 5.27 states/eV/cell. As for the space-group type: P4/mmm, No. 123.

a b c (Å): 4.270 4.270 2.891
angles (deg): 90.00 90.00 90.00
Site moments in Bohr magnetons follow the coordinates.
Atoms (fractional coordinates):
1 Rh 0.500 0.000 0.500  0.60
2 Cu 0.000 0.000 0.000  0.14
3 Cu 0.500 0.500 0.000  0.14
4 Ru 0.000 0.500 0.500  0.71

***

The most stable of them is model R.

***

Model P:
Cu2RuRh: optimized geometry, PBE-GGA.

Computed properties:
For the volume, the calculation gives 53.5 Å³/cell. The calculation puts the density of states at the Fermi level at 4.41 states/eV/cell. As for the space-group type: F-43m, No. 216.

a b c (Å): 4.230 4.230 4.230
angles (deg): 60.00 60.00 60.00
Site moments in Bohr magnetons follow the coordinates.
Atoms (fractional coordinates):
1 Rh 0.500 0.500 0.500  0.12
2 Cu 0.750 0.750 0.750  0.01
3 Cu 0.000 0.000 0.000  0.01
4 Ru 0.250 0.250 0.250  0.36

***

Model Q:
Cu2RuRh: optimized geometry, PBE-GGA.

Computed properties:
For the volume, the calculation gives 53.0 Å³/cell. The calculation puts the density of states at the Fermi level at 5.30 states/eV/cell. As for the space-group type: C2/m, No. 12.

a b c (Å): 4.564 4.564 4.641
angles (deg): 80.39 80.39 33.80
Atoms (fractional coordinates):
1 Cu 0.501 0.501 0.499
2 Cu 0.999 0.999 0.001
3 Rh 0.750 0.750 0.750
4 Ru 0.250 0.250 0.250

***

The most stable of them is model Q.

***

Model P:
CuRu2Rh2: optimized geometry, PBE-GGA.

Computed properties:
For the volume, the calculation gives 150.3 Å³/cell. The calculation puts the density of states at the Fermi level at 20.12 states/eV/cell. As for the space-group type: P4/mbm, No. 127.

a b c (Å): 7.442 7.442 2.714
angles (deg): 90.00 90.00 90.00
Atoms (fractional coordinates):
1 Ru 0.826 0.326 0.500
2 Ru 0.326 0.174 0.500
3 Ru 0.674 0.826 0.500
4 Ru 0.174 0.674 0.500
5 Rh 0.623 0.123 0.000
6 Rh 0.877 0.623 0.000
7 Rh 0.377 0.877 0.000
8 Rh 0.123 0.377 0.000
9 Cu 0.500 0.500 0.000
10 Cu 0.000 0.000 0.000

***

Model Q:
CuRu2Rh2: optimized geometry, PBE-GGA.

Computed properties:
For the volume, the calculation gives 150.6 Å³/cell. The calculation puts the density of states at the Fermi level at 12.39 states/eV/cell. As for the space-group type: P4/mbm, No. 127.

a b c (Å): 7.424 7.424 2.733
angles (deg): 90.00 90.00 90.00
Atoms (fractional coordinates):
1 Rh 0.675 0.825 0.500
2 Rh 0.325 0.175 0.500
3 Rh 0.825 0.325 0.500
4 Rh 0.175 0.675 0.500
5 Cu 0.500 0.500 0.000
6 Cu 0.000 0.000 0.000
7 Ru 0.121 0.379 0.000
8 Ru 0.621 0.121 0.000
9 Ru 0.379 0.879 0.000
10 Ru 0.879 0.621 0.000

***

The most stable of them is model Q.

***

Model P:
CuRuRh: optimized geometry, PBE-GGA.

Computed properties:
For the volume, the calculation gives 40.7 Å³/cell. The calculation puts the density of states at the Fermi level at 2.35 states/eV/cell. As for the space-group type: P3m1, No. 156.

a b c (Å): 2.686 2.686 6.515
angles (deg): 90.00 90.00 120.00
Atoms (fractional coordinates):
1 Rh 0.667 0.333 0.334
2 Ru 0.333 0.667 0.666
3 Cu 0.000 0.000 0.999

***

Model Q:
CuRuRh: optimized geometry, PBE-GGA.

Computed properties:
For the volume, the calculation gives 48.1 Å³/cell. The calculation puts the density of states at the Fermi level at 2.48 states/eV/cell. As for the space-group type: F-43m, No. 216.

a b c (Å): 4.082 4.082 4.082
angles (deg): 60.00 60.00 60.00
Atoms (fractional coordinates):
1 Rh 0.750 0.750 0.750
2 Ru 0.000 0.000 0.000
3 Cu 0.500 0.500 0.500

***

The most stable of them is model P.

***

Model P:
Cu2RuRh2: optimized geometry, PBE-GGA.

Computed properties:
For the volume, the calculation gives 137.1 Å³/cell. The calculation puts the density of states at the Fermi level at 15.44 states/eV/cell. As for the space-group type: P4/mbm, No. 127.

a b c (Å): 6.970 6.970 2.821
angles (deg): 90.00 90.00 90.00
Site moments in Bohr magnetons follow the coordinates.
Atoms (fractional coordinates):
1 Rh 0.675 0.825 0.500  0.28
2 Rh 0.325 0.175 0.500  0.28
3 Rh 0.175 0.675 0.500  0.26
4 Rh 0.825 0.325 0.500  0.26
5 Cu 0.877 0.623 0.000  0.10
6 Cu 0.623 0.123 0.000  0.10
7 Cu 0.123 0.377 0.000  0.10
8 Cu 0.377 0.877 0.000  0.10
9 Ru 0.500 0.500 0.000  0.86
10 Ru 0.000 0.000 0.000  0.87

***

Model Q:
Cu2RuRh2: optimized geometry, PBE-GGA.

Computed properties:
For the volume, the calculation gives 74.9 Å³/cell. The calculation puts the density of states at the Fermi level at 5.42 states/eV/cell. As for the space-group type: I4/mmm, No. 139.

a b c (Å): 3.610 3.610 6.291
angles (deg): 73.32 73.32 90.00
Site moments in Bohr magnetons follow the coordinates.
Atoms (fractional coordinates):
1 Cu 0.597 0.597 0.806  0.16
2 Cu 0.403 0.403 0.194  0.16
3 Rh 0.750 0.250 0.500  0.76
4 Rh 0.250 0.750 0.500  0.76
5 Ru 0.000 0.000 0.000  1.96

***

The most stable of them is model P.

***

Model P:
Cu3RhS: optimized geometry, PBE-GGA.

Computed properties:
For the volume, the calculation gives 98.2 Å³/cell. The calculation puts the density of states at the Fermi level at 6.00 states/eV/cell. As for the space-group type: Pm-3m, No. 221.

a b c (Å): 4.614 4.614 4.614
angles (deg): 90.00 90.00 90.00
Site moments in Bohr magnetons follow the coordinates.
Atoms (fractional coordinates):
1 Cu 0.000 0.500 0.000  0.16
2 Cu 0.500 0.000 0.000  0.07
3 Cu 0.000 0.000 0.500  0.28
4 S 0.500 0.500 0.500  0.05
5 Rh 0.000 0.000 0.000  0.78

***

Model Q:
Cu3RhS: optimized geometry, PBE-GGA.

Computed properties:
For the volume, the calculation gives 75.1 Å³/cell. The calculation puts the density of states at the Fermi level at 0.76 states/eV/cell. As for the space-group type: Pm-3m, No. 221.

a b c (Å): 4.218 4.218 4.218
angles (deg): 90.00 90.00 90.00
Atoms (fractional coordinates):
1 Cu 0.000 0.500 0.000
2 Cu 0.000 0.000 0.500
3 Cu 0.500 0.000 0.000
4 S 0.000 0.000 0.000
5 Rh 0.500 0.500 0.500

***

The most stable of them is model Q.

***

Model P:
CuRh3S: optimized geometry, PBE-GGA.

Computed properties:
For the volume, the calculation gives 92.2 Å³/cell. The calculation puts the density of states at the Fermi level at 7.09 states/eV/cell. As for the space-group type: Pm-3m, No. 221.

a b c (Å): 4.518 4.518 4.518
angles (deg): 90.00 90.00 90.00
Site moments in Bohr magnetons follow the coordinates.
Atoms (fractional coordinates):
1 Cu 0.000 0.000 0.000  0.09
2 Rh 0.500 0.000 0.000  0.77
3 Rh 0.000 0.000 0.500  0.91
4 Rh 0.000 0.500 0.000  1.05
5 S 0.500 0.500 0.500  0.21

***

Model Q:
CuRh3S: optimized geometry, PBE-GGA.

Computed properties:
For the volume, the calculation gives 81.6 Å³/cell. The calculation puts the density of states at the Fermi level at 2.62 states/eV/cell. As for the space-group type: Pm-3m, No. 221.

a b c (Å): 4.338 4.338 4.338
angles (deg): 90.00 90.00 90.00
Atoms (fractional coordinates):
1 Cu 0.500 0.500 0.500
2 Rh 0.000 0.500 0.000
3 Rh 0.500 0.000 0.000
4 Rh 0.000 0.000 0.500
5 S 0.000 0.000 0.000

***

The most stable of them is model Q.

***

Model P:
CuRhSeS2: optimized geometry, PBE-GGA.

Computed properties:
For the volume, the calculation gives 105.7 Å³/cell. The calculation puts the density of states at the Fermi level at 6.19 states/eV/cell. As for the space-group type: P4/mmm, No. 123.

a b c (Å): 4.937 4.937 4.338
angles (deg): 90.00 90.00 90.00
Site moments in Bohr magnetons follow the coordinates.
Atoms (fractional coordinates):
1 S 0.500 0.000 0.000  0.16
2 S 0.000 0.500 0.000  0.16
3 Cu 0.000 0.000 0.500  0.03
4 Se 0.000 0.000 0.000  -0.01
5 Rh 0.500 0.500 0.500  1.67

***

Model Q:
CuRhSeS2: optimized geometry, PBE-GGA.

Computed properties:
For the volume, the calculation gives 99.6 Å³/cell. The calculation puts the density of states at the Fermi level at 5.66 states/eV/cell. As for the space-group type: P4/mmm, No. 123.

a b c (Å): 4.489 4.944 4.489
angles (deg): 90.00 90.00 90.00
Atoms (fractional coordinates):
1 Rh 0.000 0.000 0.000
2 Se 0.500 0.500 0.500
3 S 0.000 0.000 0.500
4 S 0.500 0.000 0.000
5 Cu 0.000 0.500 0.000

***

The most stable of them is model Q.

***

Model P:
CuSb2Rh2: optimized geometry, PBE-GGA.

Computed properties:
For the volume, the calculation gives 182.2 Å³/cell. The calculation puts the density of states at the Fermi level at 5.13 states/eV/cell. As for the space-group type: P4/mbm, No. 127.

a b c (Å): 7.436 7.436 3.295
angles (deg): 90.00 90.00 90.00
Atoms (fractional coordinates):
1 Rh 0.861 0.361 0.500
2 Rh 0.361 0.139 0.500
3 Rh 0.639 0.861 0.500
4 Rh 0.139 0.639 0.500
5 Sb 0.342 0.842 0.000
6 Sb 0.158 0.342 0.000
7 Sb 0.658 0.158 0.000
8 Sb 0.842 0.658 0.000
9 Cu 0.000 0.000 0.000
10 Cu 0.500 0.500 0.000

***

Model Q:
CuSb2Rh2: optimized geometry, PBE-GGA.

Computed properties:
For the volume, the calculation gives 180.1 Å³/cell. The calculation puts the density of states at the Fermi level at 5.01 states/eV/cell. As for the space-group type: P4/mbm, No. 127.

a b c (Å): 7.134 7.134 3.538
angles (deg): 90.00 90.00 90.00
Atoms (fractional coordinates):
1 Sb 0.660 0.840 0.500
2 Sb 0.160 0.660 0.500
3 Sb 0.840 0.340 0.500
4 Sb 0.340 0.160 0.500
5 Cu 0.500 0.500 0.000
6 Cu 0.000 0.000 0.000
7 Rh 0.858 0.642 0.000
8 Rh 0.358 0.858 0.000
9 Rh 0.142 0.358 0.000
10 Rh 0.642 0.142 0.000

***

The most stable of them is model Q.